i:
Compound: CsTa2H
Source: the Alexandria database
Functional: PBE
Structure: relaxed

Mass density   9.76 g/cm3
Space-group type   I4_1/amd, No. 141
DOS(E_F)   1.242 states/eV/atom

a = 6.2104 Å, b = 6.2104 Å, c = 6.1973 Å
α = 59.93°, β = 59.93°, γ = 90.00°
Last column: nearest neighbours and their distance in Å.
Sites, in units of the cell vectors:
Ta  0.3748  0.1250  0.2500  2 H 1.90
Cs  0.7500  0.2500  0.5000  12 Ta 3.63-3.64, 4 H 3.80, 4 Cs 3.80
H  0.2500  0.7500  0.5000  4 Ta 1.90
Ta  0.3750  0.6252  0.7500  2 H 1.90
H  0.5000  0.5000  0.0000  4 Ta 1.90
Cs  0.0000  0.0000  0.0000  12 Ta 3.63-3.64, 4 H 3.80, 4 Cs 3.80
Ta  0.3752  0.6250  0.2500  2 H 1.90
Ta  0.8750  0.6248  0.7500  2 H 1.90

---

ii:
Compound: CsTa2H
Source: the Alexandria database
Functional: PBE
Structure: relaxed

Mass density   11.32 g/cm3
Space-group type   Fm-3m, No. 225
DOS(E_F)   1.253 states/eV/atom

a = 4.6857 Å, b = 4.6857 Å, c = 4.6857 Å
α = 60.00°, β = 60.00°, γ = 60.00°
Last column: nearest neighbours and their distance in Å.
Sites, in units of the cell vectors:
Cs  0.5000  0.5000  0.5000  8 Ta 2.87
H  0.0000  0.0000  0.0000  8 Ta 2.87
Ta  0.2500  0.2500  0.2500  4 H 2.87, 4 Cs 2.87
Ta  0.7500  0.7500  0.7500  4 Cs 2.87, 4 H 2.87

---

Relative energies in meV per atom: i 0; ii 1341

---

i:
Compound: Cs3TeH
Source: the Alexandria database
Functional: PBE
Structure: relaxed

Mass density   2.17 g/cm3
Space-group type   R3m, No. 160
DOS(E_F)   0.000 states/eV/atom

a = 7.4065 Å, b = 7.4065 Å, c = 7.4065 Å
α = 85.65°, β = 85.65°, γ = 85.65°
Last column: nearest neighbours and their distance in Å.
Sites, in units of the cell vectors:
H  0.1080  0.1080  0.1080  3 Cs 2.98
Cs  0.2838  0.8486  0.8486  1 H 2.98
Cs  0.8486  0.8486  0.2838  1 H 2.98
Cs  0.8486  0.2838  0.8486  1 H 2.98
Te  0.7861  0.7861  0.7861  6 Cs 3.71-3.82

---

ii:
Compound: Cs3TeH
Source: the Alexandria database
Functional: PBE
Structure: relaxed

Mass density   2.54 g/cm3
Space-group type   I-4m2, No. 119
DOS(E_F)   0.000 states/eV/atom

a = 7.2889 Å, b = 7.2889 Å, c = 13.9804 Å
α = 74.89°, β = 74.89°, γ = 90.00°
Last column: nearest neighbours and their distance in Å.
Sites, in units of the cell vectors:
Cs  0.2897  0.2897  0.4206  2 Te 3.79, 2 H 3.88
Cs  0.6366  0.8843  0.2315  1 Te 3.51, 2 Cs 3.61-3.68
Cs  0.7103  0.7103  0.5794  2 Te 3.79, 2 H 3.88
H  0.8412  0.3412  0.3176  6 Cs 3.88-4.22
Cs  0.1157  0.3634  0.7685  1 Te 3.51, 2 Cs 3.61-3.68
H  0.6588  0.1588  0.6824  6 Cs 3.88-4.22
Cs  0.1157  0.8681  0.7685  1 Te 3.51, 2 Cs 3.61-3.68
Cs  0.1319  0.8843  0.2315  1 Te 3.51, 2 Cs 3.61-3.68
Te  0.2500  0.7500  0.5000  8 Cs 3.79-3.94
Te  0.0000  0.0000  0.0000  4 Cs 3.51

---

Relative energies in meV per atom: i 0; ii 239

---

i:
Compound: Cs3TeH
Source: the Alexandria database
Functional: PBE
Structure: relaxed

Mass density   4.16 g/cm3
Space-group type   Pm-3m, No. 221
DOS(E_F)   0.000 states/eV/atom

a = 5.9478 Å, b = 5.9478 Å, c = 5.9478 Å
α = 90.00°, β = 90.00°, γ = 90.00°
Last column: nearest neighbours and their distance in Å.
Sites, in units of the cell vectors:
Te  0.5000  0.5000  0.5000  12 Cs 4.21
Cs  0.0000  0.0000  0.5000  2 H 2.97
Cs  0.5000  0.0000  0.0000  2 H 2.97
H  0.0000  0.0000  0.0000  6 Cs 2.97
Cs  0.0000  0.5000  0.0000  2 H 2.97

---

ii:
Compound: Cs3TeH
Source: the Alexandria database
Functional: PBE
Structure: relaxed

Mass density   3.85 g/cm3
Space-group type   P2_1/c, No. 14
DOS(E_F)   0.000 states/eV/atom

a = 27.2747 Å, b = 8.2052 Å, c = 8.7257 Å
α = 90.00°, β = 152.21°, γ = 90.00°
Last column: nearest neighbours and their distance in Å.
Sites, in units of the cell vectors:
Cs  0.8874  0.3159  0.2586  1 H 3.09
Te  0.1595  0.2239  0.8324  7 Cs 3.72-4.07
Cs  0.9248  0.0377  0.9995  2 H 3.11-3.18
Cs  0.3389  0.9422  0.0819  2 H 2.99-3.17
Cs  0.6611  0.0578  0.9181  2 H 2.99-3.17
Cs  0.1611  0.4422  0.4181  2 H 2.99-3.17
H  0.4462  0.2413  0.2610  5 Cs 2.99-3.18
Cs  0.8389  0.5578  0.5819  2 H 2.99-3.17
H  0.0538  0.7413  0.2390  5 Cs 2.99-3.18
Cs  0.1126  0.6841  0.7414  1 H 3.09
Te  0.6595  0.2761  0.3324  7 Cs 3.72-4.07
Te  0.3405  0.7239  0.6676  7 Cs 3.72-4.07
Cs  0.5752  0.5377  0.5005  2 H 3.11-3.18
Cs  0.3874  0.1841  0.7586  1 H 3.09
H  0.5538  0.7587  0.7390  5 Cs 2.99-3.18
Cs  0.6126  0.8159  0.2414  1 H 3.09
Cs  0.4248  0.4623  0.4995  2 H 3.11-3.18
Cs  0.0752  0.9623  0.0005  2 H 3.11-3.18
Te  0.8405  0.7761  0.1676  7 Cs 3.72-4.07
H  0.9462  0.2587  0.7610  5 Cs 2.99-3.18

---

Relative energies in meV per atom: i 0; ii 32

---

i:
Compound: Cs3TeH
Source: the Alexandria database
Functional: PBE
Structure: relaxed

Mass density   3.33 g/cm3
Space-group type   R-3, No. 148
DOS(E_F)   0.000 states/eV/atom

a = 9.2953 Å, b = 9.2953 Å, c = 9.2953 Å
α = 56.83°, β = 56.83°, γ = 56.83°
Last column: nearest neighbours and their distance in Å.
Sites, in units of the cell vectors:
Cs  0.5493  0.9758  0.2086  2 H 3.31-3.32, 1 Te 3.65
H  0.1538  0.1538  0.1538  6 Cs 3.31-3.32
Cs  0.2086  0.5493  0.9758  2 H 3.31-3.32, 1 Te 3.65
Te  0.3651  0.3651  0.3651  6 Cs 3.65-3.79
Cs  0.0242  0.7914  0.4507  2 H 3.31-3.32, 1 Te 3.65
Te  0.6349  0.6349  0.6349  6 Cs 3.65-3.79
Cs  0.4507  0.0242  0.7914  2 H 3.31-3.32, 1 Te 3.65
Cs  0.7914  0.4507  0.0242  2 H 3.31-3.32, 1 Te 3.65
H  0.8462  0.8462  0.8462  6 Cs 3.31-3.32
Cs  0.9758  0.2086  0.5493  2 H 3.31-3.32, 1 Te 3.65

---

ii:
Compound: Cs3TeH
Source: the Alexandria database
Functional: PBE
Structure: relaxed

Mass density   2.91 g/cm3
Space-group type   Cmcm, No. 63
DOS(E_F)   0.000 states/eV/atom

a = 10.9445 Å, b = 10.9445 Å, c = 7.4168 Å
α = 90.00°, β = 90.00°, γ = 137.38°
Last column: nearest neighbours and their distance in Å.
Sites, in units of the cell vectors:
Te  0.6568  0.3432  0.7500  6 Cs 3.77-4.21
Cs  0.4555  0.0750  0.2500  1 H 2.79
Cs  0.0750  0.4555  0.7500  1 H 2.79
Cs  0.0000  0.0000  0.0000  2 H 2.77
Te  0.3432  0.6568  0.2500  6 Cs 3.77-4.21
H  0.1008  0.8992  0.2500  4 Cs 2.77-2.79
Cs  0.0000  0.0000  0.5000  2 H 2.77
H  0.8992  0.1008  0.7500  4 Cs 2.77-2.79
Cs  0.5445  0.9250  0.7500  1 H 2.79
Cs  0.9250  0.5445  0.2500  1 H 2.79

---

iii:
Compound: Cs3TeH
Source: the Alexandria database
Functional: PBE
Structure: relaxed

Mass density   2.68 g/cm3
Space-group type   P6_3/mmc, No. 194
DOS(E_F)   0.000 states/eV/atom

a = 6.2654 Å, b = 6.2654 Å, c = 19.2132 Å
α = 90.00°, β = 90.00°, γ = 120.00°
Last column: nearest neighbours and their distance in Å.
Sites, in units of the cell vectors:
Cs  0.6667  0.3333  0.4318  1 Te 3.49, 3 H 3.85
Cs  0.6667  0.3333  0.0682  1 Te 3.49, 3 H 3.85
Cs  0.3333  0.6667  0.5682  1 Te 3.49, 3 H 3.85
Cs  0.0000  0.0000  0.2500  3 Te 3.62
Te  0.3333  0.6667  0.7500  5 Cs 3.49-3.62
H  0.0000  0.0000  0.0000  6 Cs 3.85
Te  0.6667  0.3333  0.2500  5 Cs 3.49-3.62
H  0.0000  0.0000  0.5000  6 Cs 3.85
Cs  0.0000  0.0000  0.7500  3 Te 3.62
Cs  0.3333  0.6667  0.9318  1 Te 3.49, 3 H 3.85

---

iv:
Compound: Cs3TeH
Source: the Alexandria database
Functional: PBE
Structure: relaxed

Mass density   3.76 g/cm3
Space-group type   P1, No. 1
DOS(E_F)   0.000 states/eV/atom

a = 6.0336 Å, b = 10.5641 Å, c = 8.3045 Å
α = 67.54°, β = 90.02°, γ = 73.42°
Last column: nearest neighbours and their distance in Å.
Sites, in units of the cell vectors:
Te  0.4040  0.4114  0.9039  10 Cs 3.85-4.20
Cs  0.7914  0.6365  0.9344  1 H 3.07
H  0.8657  0.4885  0.3372  5 Cs 3.05-3.39
Cs  0.9997  0.2205  0.2453  2 H 3.10
Cs  0.2067  0.8047  0.5550  1 H 3.07
Cs  0.6141  0.9909  0.1010  2 H 3.05
H  0.1335  0.9523  0.1525  5 Cs 3.05-3.39
Te  0.5945  0.0300  0.5856  10 Cs 3.85-4.20
Cs  0.3846  0.4508  0.3883  2 H 3.05
Cs  0.9996  0.2205  0.7453  2 H 3.39

---

Relative energies in meV per atom: i 52; ii 194; iii 205; iv 0